Entry 1:
{"formula": "GeOsRh2Br", "functional": "PBEsol", "state": "optimized geometry", "cell": [[-2.841, -3.159, 1.431], [2.855, -1.079, 3.284], [-2.151, 3.269, 2.944]], "species": ["Rh", "Rh", "Ge", "Os", "Br"], "fractional_positions": [[0.000, 0.500, 0.000], [0.500, 0.000, 0.000], [0.000, 0.000, 0.000], [0.500, 0.500, 0.500], [0.000, 0.000, 0.500]], "spacegroup": "P4/mmm, No. 123", "dos_ef_per_ev_fu": 5.33}

Entry 2:
{"formula": "SbOs2", "functional": "PBEsol", "state": "optimized geometry", "cell": [[4.029, 0.000, 0.000], [0.000, 4.283, 0.000], [-2.014, 0.000, 5.677]], "species": ["Os", "Os", "Os", "Os", "Sb", "Sb"], "fractional_positions": [[0.433, 0.250, 0.866], [0.567, 0.750, 0.134], [0.770, 0.250, 0.541], [0.230, 0.750, 0.459], [0.102, 0.250, 0.205], [0.898, 0.750, 0.795]], "spacegroup": "Cmcm, No. 63", "dos_ef_per_ev_fu": 2.58}

Entry 3:
{"formula": "V6O11F", "functional": "PBEsol", "state": "optimized geometry", "cell": [[-0.394, 0.000, -4.529], [5.269, -0.861, -0.543], [-0.339, -7.270, -0.055]], "species": ["V", "V", "V", "V", "V", "V", "O", "O", "O", "O", "O", "O", "O", "O", "O", "O", "O", "F"], "fractional_positions": [[0.521, 0.838, 0.674], [0.491, 0.497, 0.996], [0.502, 0.174, 0.335], [0.989, 0.310, 0.672], [0.981, 0.672, 0.313], [0.012, 0.008, 0.007], [0.810, 0.372, 0.435], [0.794, 0.700, 0.098], [0.798, 0.031, 0.767], [0.703, 0.202, 0.100], [0.701, 0.530, 0.764], [0.701, 0.864, 0.436], [0.301, 0.130, 0.568], [0.297, 0.468, 0.236], [0.297, 0.803, 0.898], [0.203, 0.966, 0.237], [0.200, 0.303, 0.899], [0.200, 0.632, 0.566]], "spacegroup": "P1, No. 1", "dos_ef_per_ev_fu": 7.05, "de_polymorph_ev_per_atom": 0.004}

Number 1: final energy -5.33 eV per atom. Number 2: final energy -8.96 eV per atom. Number 3: final energy -8.97 eV per atom.